Entry from Alexandria via LeMat-Bulk: an optimized crystal structure of PrHoCl6 (PBE).

```
16
Lattice="7.0821 0.0000 0.0000 0.0000 12.2458 0.0000 -0.0710 0.0000 7.3064" Properties=species:S:1:pos:R:3 pbc="T T T"
Pr 0.0000 0.0000 0.0000
Pr 3.5410 6.1229 0.0000
Ho -0.0355 0.0000 3.6532
Ho 3.5055 6.1229 3.6532
Cl 0.9558 1.7544 5.3857
Cl 0.9558 10.4914 5.3857
Cl 1.4653 6.1229 5.3576
Cl 2.0047 0.0000 1.9489
Cl 2.5142 4.3685 1.9207
Cl 2.5142 7.8773 1.9207
Cl 4.4968 4.3685 5.3857
Cl 4.4968 7.8773 5.3857
Cl 5.0064 0.0000 5.3576
Cl 5.5457 6.1229 1.9489
Cl 6.0553 1.7544 1.9207
Cl 6.0553 10.4914 1.9207
```

Space group: C2/m
N(E_F): 0.000 states/eV per cell
Total energy: -76.08 eV for the cell shown
Formation energy from raw total energies: -2.200 eV per atom
E above lowest polymorph: 0.044 eV/atom
Crystal system: monoclinic
Magnetization: 0.00 μB/f.u.